Entry from Alexandria via LeMat-Bulk: KCr2Ir after structural relaxation (PBEsol).

Unit cell a=2.6203 b=2.6203 c=10.1717 alpha=90.00 beta=90.00 gamma=115.65
With the nearest neighbours (Å) after each atom.
Fractional positions:
K 0.5000 0.5000 0.0000  6 K 2.62-2.79
Cr 0.0000 0.0000 0.2914  2 Ir 2.54, 6 Cr 2.62-2.79
Cr 0.0000 0.0000 0.7086  2 Ir 2.54, 6 Cr 2.62-2.79
Ir 0.5000 0.5000 0.5000  4 Cr 2.54, 6 Ir 2.62-2.79

SG = Cmmm (65)
polymorph energy (0 for the lowest one) = 406 meV per atom
crystal system = orthorhombic
calculated volume = 15.7 Å³ per atom
spin magnetization = 0.00 μB per cell
D(E_F) = 6.0 states/eV per cell


Entry from Alexandria via LeMat-Bulk: Li2HfAs2 after structural relaxation (PBEsol).

Unit cell a=3.0267 b=7.3832 c=7.3832 alpha=90.00 beta=90.00 gamma=90.00
With the nearest neighbours (Å) after each atom.
Fractional positions:
Hf 0.0000 0.5000 0.5000  4 As 2.72, 2 Hf 3.03
Hf 0.0000 0.0000 0.0000  4 As 2.72, 2 Hf 3.03
Li 0.5000 0.8761 0.3761  6 As 2.58-2.71, 1 Li 2.59
Li 0.5000 0.3761 0.1239  6 As 2.58-2.71, 1 Li 2.59
Li 0.5000 0.1239 0.6239  6 As 2.58-2.71, 1 Li 2.59
Li 0.5000 0.6239 0.8761  6 As 2.58-2.71, 1 Li 2.59
As 0.0000 0.8234 0.6766  6 Li 2.58-2.71, 2 Hf 2.72
As 0.0000 0.3234 0.8234  6 Li 2.58-2.71, 2 Hf 2.72
As 0.0000 0.1766 0.3234  6 Li 2.58-2.71, 2 Hf 2.72
As 0.0000 0.6766 0.1766  6 Li 2.58-2.71, 2 Hf 2.72

SG = P4/mbm (127)
crystal system = tetragonal
calculated volume = 16.5 Å³ per atom
spin magnetization = 0.00 μB per cell
calculated total energy = -5.475 eV per atom
D(E_F) = 3.2 states/eV per cell


Entry from Alexandria via LeMat-Bulk: TlPb after structural relaxation (PBEsol).

Unit cell a=3.3988 b=3.3988 c=11.6433 alpha=90.00 beta=90.00 gamma=120.00
With the nearest neighbours (Å) after each atom.
Fractional positions:
Pb 0.6667 0.3333 0.8758  9 Pb 3.40-3.50, 3 Tl 3.51
Pb 0.3333 0.6667 0.1242  9 Pb 3.40-3.50, 3 Tl 3.51
Tl 0.3333 0.6667 0.6254  9 Tl 3.40-3.52, 3 Pb 3.51
Tl 0.6667 0.3333 0.3746  9 Tl 3.40-3.52, 3 Pb 3.51

SG = P-3m1 (164)
crystal system = trigonal
calculated volume = 29.1 Å³ per atom
spin magnetization = 0.00 μB per cell
calculated total energy = -3.299 eV per atom
D(E_F) = 2.2 states/eV per cell


> Among the records above, which one has the highest calculated volume?

TlPb


> D(E_F) of number 1 (KCr2Ir)?

6.0 states/eV per cell


> The highest D(E_F) belongs to which entry?

KCr2Ir